Here is an optimized crystal structure of BaRuSe2 from the Alexandria database. Energies are from PBE.

POSCAR file:
```
BaRuSe2
1.0
0.000 3.641 3.641
3.641 0.000 3.641
3.641 3.641 0.000
Ba Ru Se
1 1 2
direct
0.000 0.000 0.000 Ba
0.250 0.250 0.250 Ru
0.500 0.500 0.500 Se
0.750 0.750 0.750 Se
```

Values from the calculation:
Polymorph energy (0 for the lowest one) = 112.3 kJ/mol of atoms
Uncorrected formation energy = 0.310 eV/atom
DOS(E_F) = 1.79 states/eV/atom
Crystal system = cubic

=====

Here is an optimized crystal structure of BaRuSe2 from the Alexandria database. Energies are from PBE.

POSCAR file:
```
BaRuSe2
1.0
1.985 1.146 8.543
-1.985 1.146 8.543
0.000 -2.293 8.543
Ba Ru Se
1 1 2
direct
0.000 0.000 0.000 Ba
0.500 0.500 0.500 Ru
0.122 0.122 0.122 Se
0.878 0.878 0.878 Se
```

Values from the calculation:
Polymorph energy (0 for the lowest one) = 56.5 kJ/mol of atoms
Uncorrected formation energy = -0.268 eV/atom
DOS(E_F) = 1.27 states/eV/atom
Crystal system = trigonal

=====

Here is an optimized crystal structure of BaRuSe2 from the Alexandria database. Energies are from PBE.

POSCAR file:
```
BaRuSe2
1.0
4.502 0.000 0.000
0.000 4.964 0.000
0.000 0.000 4.964
Ba Ru Se
1 1 2
direct
0.000 0.000 0.000 Ba
0.500 0.500 0.504 Ru
0.500 0.000 0.500 Se
0.500 0.500 0.003 Se
```

Values from the calculation:
Polymorph energy (0 for the lowest one) = 18.2 kJ/mol of atoms
Uncorrected formation energy = -0.665 eV/atom
DOS(E_F) = 0.77 states/eV/atom
Crystal system = orthorhombic

=====

Here is an optimized crystal structure of Ba4RuSe from the Alexandria database. Energies are from PBE.

POSCAR file:
```
Ba4RuSe
1.0
0.000 4.875 4.875
4.875 0.000 4.875
4.875 4.875 0.000
Ba Ru Se
4 1 1
direct
0.125 0.125 0.125 Ba
0.125 0.125 0.625 Ba
0.125 0.625 0.125 Ba
0.625 0.125 0.125 Ba
0.750 0.750 0.750 Ru
0.500 0.500 0.500 Se
```

Values from the calculation:
Uncorrected formation energy = 0.683 eV/atom
DOS(E_F) = 1.18 states/eV/atom
Crystal system = cubic

=====

Here is an optimized crystal structure of BaRu3Se from the Alexandria database. Energies are from PBE.

POSCAR file:
```
BaRu3Se
1.0
4.717 0.000 0.000
0.000 4.717 0.000
0.000 0.000 4.717
Ba Ru Se
1 3 1
direct
0.000 0.000 0.000 Ba
0.000 0.500 0.500 Ru
0.500 0.000 0.500 Ru
0.500 0.500 0.000 Ru
0.500 0.500 0.500 Se
```

Values from the calculation:
Polymorph energy (0 for the lowest one) = 0.0 kJ/mol of atoms
Uncorrected formation energy = 0.593 eV/atom
DOS(E_F) = 1.13 states/eV/atom
Crystal system = cubic

=====

Here is an optimized crystal structure of BaRuSe2 from the Alexandria database. Energies are from PBE.

POSCAR file:
```
BaRuSe2
1.0
2.073 1.197 6.327
-2.073 1.197 6.327
0.000 -2.394 6.327
Ba Ru Se
1 1 2
direct
0.000 0.000 0.000 Ba
0.500 0.500 0.500 Ru
0.222 0.222 0.222 Se
0.778 0.778 0.778 Se
```

Values from the calculation:
Polymorph energy (0 for the lowest one) = 0.0 kJ/mol of atoms
Uncorrected formation energy = -0.854 eV/atom
Crystal system = trigonal

=====

Here is an optimized crystal structure of BaRuSe2 from the Alexandria database. Energies are from PBE.

POSCAR file:
```
BaRuSe2
1.0
-2.158 2.158 5.600
2.158 -2.158 5.600
2.158 2.158 -5.600
Ba Ru Se
1 1 2
direct
0.000 0.000 0.000 Ba
0.250 0.750 0.500 Ru
0.500 0.500 0.000 Se
0.750 0.250 0.500 Se
```

Values from the calculation:
Polymorph energy (0 for the lowest one) = 89.3 kJ/mol of atoms
Uncorrected formation energy = 0.072 eV/atom
DOS(E_F) = 1.90 states/eV/atom
Crystal system = tetragonal

=====

Here is an optimized crystal structure of BaRuSe2 from the Alexandria database. Energies are from PBE.

POSCAR file:
```
BaRuSe2
1.0
0.000 3.619 3.619
3.619 0.000 3.619
3.619 3.619 0.000
Ba Ru Se
1 1 2
direct
0.000 0.000 0.000 Ba
0.500 0.500 0.500 Ru
0.250 0.250 0.250 Se
0.750 0.750 0.750 Se
```

Values from the calculation:
Polymorph energy (0 for the lowest one) = 61.4 kJ/mol of atoms
Uncorrected formation energy = -0.218 eV/atom
DOS(E_F) = 0.58 states/eV/atom
Crystal system = cubic

=====

Number 1: M_tot 2.0 μB/f.u., E_tot -4.23 eV/atom. Number 2: M_tot 0.1 μB/f.u., E_tot -4.81 eV/atom. Number 3: M_tot 1.7 μB/f.u., E_tot -5.21 eV/atom. Number 4: M_tot 0.4 μB/f.u., E_tot -2.73 eV/atom. Number 5: M_tot 0.0 μB/f.u., E_tot -6.05 eV/atom. Number 6: M_tot 0.0 μB/f.u., E_tot -5.40 eV/atom. Number 7: M_tot 2.8 μB/f.u., E_tot -4.47 eV/atom. Number 8: M_tot 2.0 μB/f.u., E_tot -4.76 eV/atom.